Crystalline Ba2Mg3Hg4 at its relaxed geometry. Source: Alexandria, functional PBE.

Properties
Density of states at the Fermi level = 0.493 states/eV/atom
Symmetry = Cmce (64)
VASP energy = -1.45 eV per atom
Energy relative to the elements = -0.357 eV/atom
Crystal system = orthorhombic

Cell: 6.6609 8.8833 9.4184 Å, 90.00 110.71 90.00°
Last column: nearest neighbours and their distance in Å.
Fractional coordinates of all 18 atoms:
Hg 0.7004 0.7500 0.9008  3 Mg 2.91-2.94
Hg 0.2004 0.7500 0.9008  3 Mg 2.91-2.94
Hg 0.3148 0.4697 0.6297  5 Mg 3.05-3.27
Hg 0.2996 0.2500 0.0992  3 Mg 2.91-2.94
Hg 0.6852 0.5303 0.3703  5 Mg 3.05-3.27
Hg 0.8148 0.0303 0.6297  5 Mg 3.05-3.27
Hg 0.1852 0.9697 0.3703  5 Mg 3.05-3.27
Hg 0.7996 0.2500 0.0992  3 Mg 2.91-2.94
Ba 0.6129 0.9125 0.2258  8 Hg 3.60-3.71, 6 Mg 3.73-3.96
Ba 0.8871 0.4125 0.7742  8 Hg 3.60-3.71, 6 Mg 3.73-3.96
Ba 0.3871 0.0875 0.7742  8 Hg 3.60-3.71, 6 Mg 3.73-3.96
Ba 0.1129 0.5875 0.2258  8 Hg 3.60-3.71, 6 Mg 3.73-3.96
Mg 0.5000 0.5000 0.0000  4 Hg 2.91
Mg 0.0000 0.0000 0.0000  4 Hg 2.91
Mg 0.0336 0.7500 0.5672  5 Hg 2.94-3.10
Mg 0.9664 0.2500 0.4328  5 Hg 2.94-3.10
Mg 0.4664 0.2500 0.4328  5 Hg 2.94-3.10
Mg 0.5336 0.7500 0.5672  5 Hg 2.94-3.10